An optimized crystal structure of Rb2VReF6, computed with PBE with a Hubbard U.

Lattice parameters (Å, degrees): 6.101 6.101 6.101 120.76 120.76 88.69
Atoms (fractional coordinates):
Rb: 0.250 0.750 0.500
Rb: 0.750 0.250 0.500
V: 0.000 0.000 0.000
Re: 0.500 0.500 0.000
F: 0.242 0.242 0.000
F: 0.249 0.249 0.498
F: 0.249 0.751 0.000
F: 0.751 0.249 0.000
F: 0.751 0.751 0.502
F: 0.758 0.758 0.000

* ρ: 5.46 g/cm3
* VASP energy: -53.3 eV/cell